Entry 1:
Density functional theory data (PBE-GGA) for an optimized crystal structure of NaTl2AgF6.

VASP energy in eV/atom: -3.7479

a b c (Å): 12.3321 5.3680 8.8720
angles (deg): 90.00 90.00 90.00
Fractional coordinates of all 40 atoms:
F  0.4046  0.9917  0.0612
F  0.7323  0.7500  0.1847
F  0.7677  0.2500  0.6846
F  0.0954  0.4917  0.5612
F  0.9046  0.9917  0.4388
F  0.0954  0.0083  0.5612
F  0.5954  0.0083  0.9388
F  0.2159  0.2500  0.1020
F  0.7159  0.2500  0.3980
F  0.0196  0.9925  0.1782
F  0.7841  0.7500  0.8980
F  0.2677  0.2500  0.8154
F  0.4046  0.5083  0.0612
F  0.9046  0.5083  0.4388
F  0.4804  0.0075  0.6782
F  0.5196  0.5075  0.3218
F  0.4804  0.4925  0.6782
F  0.2841  0.7500  0.6020
F  0.5954  0.4917  0.9388
F  0.2323  0.7500  0.3154
F  0.5196  0.9925  0.3218
F  0.9804  0.4925  0.8218
F  0.0196  0.5075  0.1782
F  0.9804  0.0075  0.8218
Na  0.5684  0.2500  0.5103
Na  0.0684  0.2500  0.9897
Na  0.4316  0.7500  0.4897
Na  0.9316  0.7500  0.0103
Tl  0.4431  0.2500  0.8698
Tl  0.3374  0.2500  0.2841
Tl  0.9431  0.2500  0.6302
Tl  0.1626  0.7500  0.7841
Tl  0.6626  0.7500  0.7159
Tl  0.8374  0.2500  0.2159
Tl  0.5569  0.7500  0.1302
Tl  0.0569  0.7500  0.3698
Ag  0.2717  0.2500  0.5635
Ag  0.7717  0.2500  0.9365
Ag  0.2283  0.7500  0.0635
Ag  0.7283  0.7500  0.4365


Entry 2:
Density functional theory data (PBE-GGA) for an optimized crystal structure of NaTl2AgF6.

VASP energy in eV/atom: -3.7129

a b c (Å): 5.6367 6.1935 9.6728
angles (deg): 90.00 125.15 90.00
Fractional coordinates of all 20 atoms:
F  0.1987  0.3196  0.0661
F  0.0530  0.5732  0.7379
F  0.5984  0.3334  0.4284
F  0.9470  0.4268  0.2621
F  0.1987  0.1804  0.5661
F  0.0530  0.9268  0.2379
F  0.9470  0.0732  0.7621
F  0.8013  0.8196  0.4339
F  0.5984  0.1666  0.9284
F  0.8013  0.6804  0.9339
F  0.4016  0.8334  0.0716
F  0.4016  0.6666  0.5716
Ag  0.5000  0.5000  0.0000
Ag  0.5000  0.0000  0.5000
Tl  0.2877  0.6045  0.2489
Tl  0.2877  0.8955  0.7489
Tl  0.7123  0.3955  0.7511
Tl  0.7123  0.1045  0.2511
Na  0.0000  0.5000  0.5000
Na  0.0000  0.0000  0.0000


Entry 3:
Density functional theory data (PBE-GGA) for an optimized crystal structure of NbTl2AgF6.

VASP energy in eV/atom: -4.7985
Size of the total moment in Bohr magnetons per cell: 1.815

a b c (Å): 6.1629 6.1629 6.1629
angles (deg): 60.00 60.00 60.00
Last column: magnetic moment on the atom in μB.
Fractional coordinates of all 10 atoms:
Ag  0.0000  0.0000  0.0000  0.00
F  0.7345  0.2655  0.2655  0.02
F  0.2655  0.2655  0.7345  0.02
F  0.7345  0.7345  0.2655  0.02
F  0.7345  0.2655  0.7345  0.02
F  0.2655  0.7345  0.7345  0.02
F  0.2655  0.7345  0.2655  0.02
Nb  0.5000  0.5000  0.5000  1.44
Tl  0.2500  0.2500  0.2500  0.02
Tl  0.7500  0.7500  0.7500  0.02


Entry 4:
Density functional theory data (PBE-GGA) for an optimized crystal structure of Rb2NdAgF6.

VASP energy in eV/atom: -4.9296
Size of the total moment in Bohr magnetons per cell: 0.000

a b c (Å): 6.3816 6.3816 6.3816
angles (deg): 121.67 121.67 87.12
Fractional coordinates of all 10 atoms:
F  0.6775  0.1624  0.8399
F  0.3225  0.8376  0.1601
F  0.2426  0.2426  0.0000
F  0.8376  0.6775  0.5151
F  0.1624  0.3225  0.4849
F  0.7574  0.7574  0.0000
Rb  0.2500  0.7500  0.5000
Rb  0.7500  0.2500  0.5000
Nd  0.0000  0.0000  0.0000
Ag  0.5000  0.5000  0.0000


Entry 5:
Density functional theory data (PBE-GGA) for an optimized crystal structure of NpAgF6.

VASP energy in eV/atom: -6.1000
Size of the total moment in Bohr magnetons per cell: 2.008

a b c (Å): 6.1265 6.1265 6.1265
angles (deg): 60.00 60.00 60.00
Last column: magnetic moment on the atom in μB.
Fractional coordinates of all 8 atoms:
F  0.7611  0.2389  0.7611  -0.04
F  0.7611  0.2389  0.2389  -0.03
F  0.2389  0.7611  0.2389  -0.04
F  0.2389  0.2389  0.7611  -0.03
F  0.7611  0.7611  0.2389  -0.03
F  0.2389  0.7611  0.7611  -0.03
Np  0.0000  0.0000  0.0000  2.25
Ag  0.5000  0.5000  0.5000  -0.10


Entry 6:
Density functional theory data (PBE-GGA) for an optimized crystal structure of Ag5PO4F2.

VASP energy in eV/atom: -4.6061

a b c (Å): 6.7844 5.2937 5.2937
angles (deg): 118.07 90.00 90.00
Fractional coordinates of all 12 atoms:
F  0.5000  0.3533  0.9984
F  0.5000  0.9984  0.3533
Ag  0.7581  0.7273  0.0590
Ag  0.2419  0.0590  0.7273
Ag  0.2419  0.7273  0.0590
Ag  0.7581  0.0590  0.7273
Ag  0.5000  0.5175  0.5175
O  0.0000  0.0854  0.3691
O  0.1819  0.5611  0.5611
O  0.0000  0.3691  0.0854
O  0.8181  0.5611  0.5611
P  0.0000  0.3875  0.3875


Which value of VASP energy does entry 6 give? -4.6061 eV/atom